## KZr2Mo (PBE)

Data for a geometry-optimized KZr2Mo structure.

CIF file:
```
data_KZr2Mo
_symmetry_space_group_name_H-M 'P 1'
_symmetry_Int_Tables_number 1
_cell_length_a 7.863
_cell_length_b 7.863
_cell_length_c 7.981
_cell_angle_alpha 60.49
_cell_angle_beta 60.49
_cell_angle_gamma 90.00
loop_
_symmetry_equiv_pos_as_xyz
'x,y,z'
loop_
_atom_site_label
_atom_site_type_symbol
_atom_site_fract_x
_atom_site_fract_y
_atom_site_fract_z
_atom_site_occupancy
Mo1 Mo 0.000 0.000 0.000 1
Mo2 Mo 0.750 0.250 0.500 1
K1 K 0.500 0.500 0.000 1
K2 K 0.250 0.750 0.500 1
Zr1 Zr 0.875 0.125 0.250 1
Zr2 Zr 0.875 0.625 0.250 1
Zr3 Zr 0.375 0.125 0.750 1
Zr4 Zr 0.875 0.125 0.750 1
```

M_tot ... 0.00 μB/atom
E above lowest polymorph ... 1073 meV per atom
D(E_F) ... 8.22 states/eV/cell
SG ... I4_1/amd (141)
DFT formation energy ... 1.3610 eV per atom

=====

## BC2 (PBE)

Data for a geometry-optimized BC2 structure.

CIF file:
```
data_BC2
_symmetry_space_group_name_H-M 'P 1'
_symmetry_Int_Tables_number 1
_cell_length_a 6.870
_cell_length_b 7.106
_cell_length_c 7.106
_cell_angle_alpha 159.24
_cell_angle_beta 141.09
_cell_angle_gamma 44.69
loop_
_symmetry_equiv_pos_as_xyz
'x,y,z'
loop_
_atom_site_label
_atom_site_type_symbol
_atom_site_fract_x
_atom_site_fract_y
_atom_site_fract_z
_atom_site_occupancy
B1 B 0.976 0.338 0.639 1
B2 B 0.561 0.176 0.385 1
B3 B 0.082 0.119 0.963 1
B4 B 0.135 0.785 0.350 1
C1 C 0.596 0.294 0.302 1
C2 C 0.013 0.999 0.014 1
C3 C 0.622 0.958 0.664 1
C4 C 0.506 0.836 0.669 1
C5 C 0.994 0.664 0.330 1
C6 C 0.635 0.619 0.016 1
C7 C 0.502 0.499 0.003 1
C8 C 0.126 0.462 0.664 1
```

M_tot ... 0.00 μB/atom
E above lowest polymorph ... 124 meV per atom
D(E_F) ... 1.45 states/eV/cell
SG ... Cm (8)
DFT formation energy ... 0.3635 eV per atom

=====

## Ba3BiCl2 (PBE)

Data for a geometry-optimized Ba3BiCl2 structure.

CIF file:
```
data_Ba3BiCl2
_symmetry_space_group_name_H-M 'P 1'
_symmetry_Int_Tables_number 1
_cell_length_a 4.904
_cell_length_b 6.839
_cell_length_c 8.156
_cell_angle_alpha 114.79
_cell_angle_beta 107.50
_cell_angle_gamma 90.00
loop_
_symmetry_equiv_pos_as_xyz
'x,y,z'
loop_
_atom_site_label
_atom_site_type_symbol
_atom_site_fract_x
_atom_site_fract_y
_atom_site_fract_z
_atom_site_occupancy
Ba1 Ba 0.328 0.328 0.656 1
Ba2 Ba 0.000 0.000 0.000 1
Ba3 Ba 0.672 0.672 0.344 1
Bi1 Bi 0.000 0.500 0.000 1
Cl1 Cl 0.662 0.162 0.324 1
Cl2 Cl 0.338 0.838 0.676 1
```

M_tot ... 0.00 μB/atom
D(E_F) ... 2.63 states/eV/cell
SG ... Immm (71)
Total energy ... -23.01 eV per cell

=====

## KRbHg2Pt (PBE)

Data for a geometry-optimized KRbHg2Pt structure.

CIF file:
```
data_KRbHg2Pt
_symmetry_space_group_name_H-M 'P 1'
_symmetry_Int_Tables_number 1
_cell_length_a 5.453
_cell_length_b 5.453
_cell_length_c 6.041
_cell_angle_alpha 90.00
_cell_angle_beta 90.00
_cell_angle_gamma 90.00
loop_
_symmetry_equiv_pos_as_xyz
'x,y,z'
loop_
_atom_site_label
_atom_site_type_symbol
_atom_site_fract_x
_atom_site_fract_y
_atom_site_fract_z
_atom_site_occupancy
K1 K 0.500 0.500 0.500 1
Rb1 Rb 0.000 0.000 0.500 1
Hg1 Hg 0.000 0.500 0.000 1
Hg2 Hg 0.500 0.000 0.000 1
Pt1 Pt 0.000 0.000 0.000 1
```

M_tot ... 0.00 μB/atom
E above lowest polymorph ... 53 meV per atom
D(E_F) ... 2.06 states/eV/cell
SG ... P4/mmm (123)
DFT formation energy ... -0.1385 eV per atom